This record from Alexandria via LeMat-Bulk describes crystalline FeIN2O at its relaxed geometry. The functional is GGA+U.

- symmetry = P4/mmm, No. 123
- calculated total energy (eV per atom) = -4.175
- V (Å³ per atom) = 13.758

abc: 3.482 3.482 5.675
angles: 90.00 90.00 90.00
Site moments in Bohr magnetons follow the coordinates.
Fractional coordinates of all 5 atoms:
I  0.000  0.000  0.500  0.01
Fe  0.000  0.000  0.000  0.07
O  0.500  0.500  0.500  0.00
N  0.000  0.500  0.000  0.03
N  0.500  0.000  0.000  0.03